# 1
VASP calculation (PBEsol) on an optimized crystal structure of Zr3Ag2.

Output
Energy above the most stable polymorph in this dataset ... 0 meV per atom
Energy of formation from the pure elements ... -0.080 eV/atom
V ... 98.32 Å³/cell
E_tot ... -6.86 eV/atom
Total moment ... 0.00 μB per atom

The structure in CIF format:
```
data_Zr3Ag2
_cell_length_a 3.039
_cell_length_b 3.039
_cell_length_c 10.859
_cell_angle_alpha 98.04
_cell_angle_beta 98.04
_cell_angle_gamma 90.00
_symmetry_space_group_name_H-M 'P 1'
_symmetry_Int_Tables_number 1
loop_
_symmetry_equiv_pos_as_xyz
'x,y,z'
loop_
_atom_site_label
_atom_site_type_symbol
_atom_site_fract_x
_atom_site_fract_y
_atom_site_fract_z
Zr1 Zr 0.697 0.697 0.395
Zr2 Zr 0.303 0.303 0.605
Zr3 Zr 0.500 0.500 0.000
Ag1 Ag 0.903 0.903 0.805
Ag2 Ag 0.097 0.097 0.195
```



# 2
VASP calculation (PBEsol) on an optimized crystal structure of Zr4Ag.

Output
Energy above the most stable polymorph in this dataset ... 49 meV per atom
Energy of formation from the pure elements ... -0.009 eV/atom
V ... 103.61 Å³/cell
E_tot ... -7.94 eV/atom
Total moment ... 0.00 μB per atom

The structure in CIF format:
```
data_Zr4Ag
_cell_length_a 4.109
_cell_length_b 5.426
_cell_length_c 5.426
_cell_angle_alpha 81.76
_cell_angle_beta 67.75
_cell_angle_gamma 67.75
_symmetry_space_group_name_H-M 'P 1'
_symmetry_Int_Tables_number 1
loop_
_symmetry_equiv_pos_as_xyz
'x,y,z'
loop_
_atom_site_label
_atom_site_type_symbol
_atom_site_fract_x
_atom_site_fract_y
_atom_site_fract_z
Zr1 Zr 0.806 0.804 0.585
Zr2 Zr 0.610 0.585 0.196
Zr3 Zr 0.194 0.196 0.415
Zr4 Zr 0.390 0.415 0.804
Ag1 Ag 0.000 0.000 0.000
```